No. 1
## Ho3AlN (PBEsol)

Data for a relaxed Ho3AlN crystal.

## Properties
The uncorrected formation energy is -23.5 kcal/mol of atoms. The space group is Pm-3m.

a = 4.6855 Å, b = 4.6855 Å, c = 4.6855 Å
α = 90.00°, β = 90.00°, γ = 90.00°
Closest atoms and distances in Å follow each position.
Sites, in units of the cell vectors:
Al 0.0000 0.0000 0.0000  12 Ho 3.31
Ho 0.0000 0.5000 0.5000  2 N 2.34
Ho 0.5000 0.0000 0.5000  2 N 2.34
Ho 0.5000 0.5000 0.0000  2 N 2.34
N 0.5000 0.5000 0.5000  6 Ho 2.34

No. 2
## K2CaYCu (PBEsol)

Data for a relaxed K2CaYCu crystal.

## Properties
As for the formation energy: 1365 meV per atom. The space group is P4/mmm.

a = 6.2500 Å, b = 6.8178 Å, c = 6.8178 Å
α = 90.00°, β = 90.00°, γ = 90.00°
Closest atoms and distances in Å follow each position.
Sites, in units of the cell vectors:
Y 0.0000 0.0000 0.0000  2 Ca 3.13, 4 K 3.41
Ca 0.5000 0.0000 0.0000  2 Y 3.13
K 0.0000 0.0000 0.5000  2 Y 3.41
K 0.0000 0.5000 0.0000  2 Y 3.41
Cu 0.5000 0.5000 0.5000  8 K 4.62, 4 Ca 4.82

No. 3
## GaPt2PbI (PBEsol)

Data for a relaxed GaPt2PbI crystal.

## Properties
The uncorrected formation energy is 23.7 kcal/mol of atoms. The space group is P4/mmm.

a = 4.9236 Å, b = 4.9236 Å, c = 6.0048 Å
α = 90.00°, β = 90.00°, γ = 90.00°
Closest atoms and distances in Å follow each position.
Sites, in units of the cell vectors:
Pb 0.0000 0.0000 0.5000  2 I 3.00
I 0.0000 0.0000 0.0000  4 Pt 2.46
Ga 0.5000 0.5000 0.5000  4 Pb 3.48, 8 Pt 3.88
Pt 0.0000 0.5000 0.0000  2 I 2.46
Pt 0.5000 0.0000 0.0000  2 I 2.46

No. 4
## CaMn2Te (PBEsol)

Data for a relaxed CaMn2Te crystal.

## Properties
The uncorrected formation energy is 7.3 kcal/mol of atoms. The space group is I-4m2.

a = 4.1657 Å, b = 4.1657 Å, c = 5.3446 Å
α = 112.94°, β = 112.94°, γ = 90.00°
Closest atoms and distances in Å follow each position.
Sites, in units of the cell vectors:
Ca 0.2500 0.7500 0.5000  8 Mn 2.95-3.05, 4 Te 3.05
Te 0.5000 0.5000 0.0000  8 Mn 2.95-3.05, 4 Ca 3.05
Mn 0.0000 0.0000 0.0000  4 Te 2.95, 4 Mn 3.05, 4 Ca 3.05
Mn 0.7500 0.2500 0.5000  4 Ca 2.95, 4 Mn 3.05, 4 Te 3.05

No. 5
## Tc2MoIr (PBEsol)

Data for a relaxed Tc2MoIr crystal.

## Properties
The polymorph energy (0 for the lowest one) is 0.024 eV/atom. As for the formation energy: -107 meV per atom. The space group is I-4m2.

a = 3.8427 Å, b = 3.8427 Å, c = 4.7270 Å
α = 113.98°, β = 113.98°, γ = 90.00°
Closest atoms and distances in Å follow each position.
Sites, in units of the cell vectors:
Mo 0.2500 0.7500 0.5000  8 Tc 2.72-2.73, 4 Ir 2.73
Ir 0.0000 0.0000 0.0000  8 Tc 2.72-2.73, 4 Mo 2.73
Tc 0.5000 0.5000 0.0000  4 Ir 2.72, 4 Mo 2.73, 4 Tc 2.73
Tc 0.7500 0.2500 0.5000  4 Mo 2.72, 4 Tc 2.73, 4 Ir 2.73

No. 6
## Co3P2 (PBEsol)

Data for a relaxed Co3P2 crystal.

## Properties
As for the formation energy: -396 meV per atom. The space group is R-3m.

a = 3.6435 Å, b = 3.6435 Å, c = 5.0531 Å
α = 68.87°, β = 68.87°, γ = 60.00°
Closest atoms and distances in Å follow each position.
Sites, in units of the cell vectors:
Co 0.0000 0.0000 0.0000  6 P 2.34, 6 Co 2.58
Co 0.2248 0.2248 0.3257  3 P 2.16
Co 0.7752 0.7752 0.6743  3 P 2.16
P 0.5926 0.5926 0.2222  6 Co 2.16-2.34
P 0.4074 0.4074 0.7778  6 Co 2.16-2.34

No. 7
## Li2CaIn (PBEsol)

Data for a relaxed Li2CaIn crystal.

## Properties
As for the formation energy: -171 meV per atom. The space group is Pmmm.

a = 4.2445 Å, b = 4.6865 Å, c = 4.8949 Å
α = 90.00°, β = 90.00°, γ = 90.00°
Closest atoms and distances in Å follow each position.
Sites, in units of the cell vectors:
Ca 0.5000 0.5000 0.0000  8 Li 3.16-3.39, 4 In 3.24
In 0.0000 0.5000 0.5000  8 Li 3.16-3.39, 4 Ca 3.24
Li 0.0000 0.0000 0.0000  4 Ca 3.16, 4 Li 3.24, 4 In 3.39
Li 0.5000 0.0000 0.5000  4 In 3.16, 4 Li 3.24, 4 Ca 3.39

No. 8
## CuTeRu3 (PBEsol)

Data for a relaxed CuTeRu3 crystal.

## Properties
The uncorrected formation energy is 34.9 kcal/mol of atoms. The polymorph energy (0 for the lowest one) is 0.000 eV/atom. The space group is Pm-3m.

a = 4.4131 Å, b = 4.4131 Å, c = 4.4131 Å
α = 90.00°, β = 90.00°, γ = 90.00°
Closest atoms and distances in Å follow each position.
Sites, in units of the cell vectors:
Ru 0.0000 0.5000 0.0000  2 Cu 2.21
Ru 0.0000 0.0000 0.5000  2 Cu 2.21
Ru 0.5000 0.0000 0.0000  2 Cu 2.21
Te 0.5000 0.5000 0.5000  12 Ru 3.12
Cu 0.0000 0.0000 0.0000  6 Ru 2.21

Number 1: ρ 8.65 g/cm³, uncorrected energy -0.239 hartree per atom. Number 2: ρ 1.55 g/cm³, uncorrected energy -0.064 hartree per atom. Number 3: ρ 9.06 g/cm³, uncorrected energy -0.131 hartree per atom. Number 4: ρ 5.96 g/cm³, uncorrected energy -0.220 hartree per atom. Number 5: ρ 14.08 g/cm³, uncorrected energy -0.409 hartree per atom. Number 6: ρ 7.51 g/cm³, uncorrected energy -0.270 hartree per atom. Number 7: ρ 2.88 g/cm³, uncorrected energy -0.089 hartree per atom. Number 8: ρ 9.55 g/cm³, uncorrected energy -0.226 hartree per atom.